Material: Pr2TmAgS5
Method: DFT, PBE-GGA
State: optimized geometry

Calculated values
D(E_F): 0.2 states/eV per cell
Formation energy (no corrections): -15.2 eV/f.u.
SG: Cmc2_1

Cell: 8.6015 8.6015 12.0746 Å, 90.00 90.00 153.10°
Element x y z (fractional)
Pr 0.1098 0.8902 0.5000
Pr 0.1264 0.8736 0.1193
Pr 0.8736 0.1264 0.6193
Pr 0.8902 0.1098 0.0000
Tm 0.1966 0.8034 0.8221
Tm 0.8034 0.1966 0.3221
Ag 0.4563 0.5437 0.2778
Ag 0.5437 0.4563 0.7778
S 0.0492 0.9508 0.8949
S 0.2862 0.7138 0.4765
S 0.3057 0.6943 0.1647
S 0.3575 0.6425 0.8147
S 0.4977 0.5023 0.5867
S 0.5023 0.4977 0.0867
S 0.6425 0.3575 0.3147
S 0.6943 0.3057 0.6647
S 0.7138 0.2862 0.9765
S 0.9508 0.0492 0.3949